Compound: BaTc4Br
Source: the Alexandria database
Functional: PBE
Structure: relaxed

a b c (Å): 5.498 5.498 5.498
angles (deg): 60.00 60.00 60.00
Positions (direct):
Ba 0.750 0.750 0.750
Tc 0.880 0.373 0.373
Tc 0.373 0.373 0.880
Tc 0.373 0.880 0.373
Tc 0.373 0.373 0.373
Br 0.000 0.000 0.000

* E_form (uncorrected): 1.020 eV per atom
* space-group type: F-43m (216)
* energy: -6.4903 eV/atom